CaVMo2: relaxed, PBE.

Computed properties:
magnetization = 0.01 μB/f.u.
SG = Fm-3m, No. 225
energy = -7.39 eV/atom

abc: 4.5902 4.5902 4.5902
angles: 60.00 60.00 60.00
Element x y z (fractional)
1 Mo 0.2500 0.2500 0.2500
2 Mo 0.7500 0.7500 0.7500
3 Ca 0.0000 0.0000 0.0000
4 V 0.5000 0.5000 0.5000